# Ba2NaYRu | Alexandria | PBE | optimized geometry
# Total magnetic moment   0.000 μB per cell
# Formation enthalpy at 0 K   138 meV/atom
# Raw total energy   -20.22 eV/cell
data_Ba2NaYRu
_cell_length_a 6.1796
_cell_length_b 5.3514
_cell_length_c 6.1796
_cell_angle_alpha 90.00
_cell_angle_beta 90.00
_cell_angle_gamma 90.00
_space_group_name_H-M_alt 'P 1'
_space_group_IT_number 1
loop_
_space_group_symop_operation_xyz
'x,y,z'
loop_
_atom_site_label
_atom_site_type_symbol
_atom_site_fract_x
_atom_site_fract_y
_atom_site_fract_z
Ba1 Ba 0.5000 0.0000 0.0000
Ba2 Ba 0.0000 0.0000 0.5000
Y1 Y 0.0000 0.5000 0.0000
Ru1 Ru 0.0000 0.0000 0.0000
Na1 Na 0.5000 0.5000 0.5000